! TlHg2Br2 (PBE-GGA, relaxed); values from VASP
! M_tot, μB/cell: 0.00
! Formation energy without anion corrections, meV/atom: -314
! DOS at the Fermi energy, states/eV/cell: 1.72
! Energy above the lowest structure with this stoichiometry, meV per atom: 61
! Electronic total energy, eV per atom: -1.58
&SYSTEM
  ibrav = 0, nat = 10, ntyp = 3
/
ATOMIC_SPECIES
Tl 204.38 Tl.upf
Hg 200.59 Hg.upf
Br 79.90 Br.upf
CELL_PARAMETERS angstrom
9.1314 0.0000 0.0000
0.0000 9.1314 0.0000
0.0000 0.0000 5.4042
ATOMIC_POSITIONS angstrom
Tl 0.0000 0.0000 0.0000
Tl 4.5657 4.5657 0.0000
Hg 1.0002 3.5655 2.7021
Hg 3.5655 8.1312 2.7021
Hg 5.5659 1.0002 2.7021
Hg 8.1312 5.5659 2.7021
Br 1.9522 2.6135 0.0000
Br 2.6135 7.1792 0.0000
Br 6.5179 1.9522 0.0000
Br 7.1792 6.5179 0.0000

! CeSm2Ga9 (PBE-GGA, relaxed); values from VASP
! M_tot, μB/cell: 0.07
! DOS at the Fermi energy, states/eV/cell: 5.65
! Electronic total energy, eV per atom: -4.08
! Energy of formation from the pure elements, eV/atom: -0.5315
&SYSTEM
  ibrav = 0, nat = 12, ntyp = 3
/
ATOMIC_SPECIES
Ce 140.12 Ce.upf
Sm 150.36 Sm.upf
Ga 69.72 Ga.upf
CELL_PARAMETERS angstrom
4.3345 0.0000 0.0000
0.0000 4.3345 0.0000
0.0000 0.0000 13.0179
ATOMIC_POSITIONS angstrom
Ce 0.0000 0.0000 0.0000
Sm 0.0000 0.0000 4.3483
Sm 0.0000 0.0000 8.6696
Ga 0.0000 2.1672 2.1624
Ga 0.0000 2.1672 6.5090
Ga 0.0000 2.1672 10.8555
Ga 2.1672 0.0000 2.1624
Ga 2.1672 0.0000 6.5090
Ga 2.1672 0.0000 10.8555
Ga 2.1672 2.1672 0.0000
Ga 2.1672 2.1672 4.3327
Ga 2.1672 2.1672 8.6852

! ScMn4Sb (PBE-GGA, relaxed); values from VASP
! M_tot, μB/cell: 3.50
! Formation energy without anion corrections, meV/atom: 5
! DOS at the Fermi energy, states/eV/cell: 7.32
! Electronic total energy, eV per atom: -7.85
&SYSTEM
  ibrav = 0, nat = 6, ntyp = 3
/
ATOMIC_SPECIES
Sc 44.96 Sc.upf
Mn 54.94 Mn.upf
Sb 121.76 Sb.upf
CELL_PARAMETERS angstrom
0.0000 3.4703 3.4703
3.4703 0.0000 3.4703
3.4703 3.4703 0.0000
ATOMIC_POSITIONS angstrom
Sc 0.0000 0.0000 0.0000
Mn 2.6097 2.6097 2.6097
Mn 4.3309 4.3309 2.6097
Mn 4.3309 2.6097 4.3309
Mn 2.6097 4.3309 4.3309
Sb 5.2054 5.2054 5.2054

! Mg2RhSe (PBE-GGA, relaxed); values from VASP
! M_tot, μB/cell: 0.00
! Formation energy without anion corrections, meV/atom: -549
! DOS at the Fermi energy, states/eV/cell: 1.98
! Electronic total energy, eV per atom: -4.05
&SYSTEM
  ibrav = 0, nat = 4, ntyp = 3
/
ATOMIC_SPECIES
Mg 24.30 Mg.upf
Rh 102.91 Rh.upf
Se 78.96 Se.upf
CELL_PARAMETERS angstrom
3.7338 0.0000 0.0000
0.0000 1.9187 5.1491
0.0000 -1.9187 5.1491
ATOMIC_POSITIONS angstrom
Mg 0.0000 0.0000 0.0000
Mg 1.8669 0.0000 3.1243
Rh 0.0000 0.0000 7.5491
Se 1.8669 0.0000 5.9013

! Be2RuCl (PBE-GGA, relaxed); values from VASP
! M_tot, μB/cell: 0.00
! Formation energy without anion corrections, meV/atom: -9
! DOS at the Fermi energy, states/eV/cell: 2.42
! Energy above the lowest structure with this stoichiometry, meV per atom: 42
! Electronic total energy, eV per atom: -4.65
&SYSTEM
  ibrav = 0, nat = 4, ntyp = 3
/
ATOMIC_SPECIES
Be 9.01 Be.upf
Ru 101.07 Ru.upf
Cl 35.45 Cl.upf
CELL_PARAMETERS angstrom
3.5665 -1.4815 0.0000
3.5665 1.4815 0.0000
-0.6467 0.0000 5.6285
ATOMIC_POSITIONS angstrom
Be 0.0000 0.0000 0.0000
Be 5.1033 0.0000 0.8737
Ru 1.3885 0.0000 4.8389
Cl 4.4465 0.0000 2.7605

! ZrTl2Ni (PBE-GGA, relaxed); values from VASP
! M_tot, μB/cell: 0.51
! DOS at the Fermi energy, states/eV/cell: 4.98
! Electronic total energy, eV per atom: -4.48
! Energy of formation from the pure elements, eV/atom: 0.2827
&SYSTEM
  ibrav = 0, nat = 4, ntyp = 3
/
ATOMIC_SPECIES
Zr 91.22 Zr.upf
Tl 204.38 Tl.upf
Ni 58.69 Ni.upf
CELL_PARAMETERS angstrom
3.0696 -4.3950 0.0000
3.0696 4.3950 0.0000
-0.0071 0.0000 3.1334
ATOMIC_POSITIONS angstrom
Zr 0.0000 0.0000 0.0000
Tl 1.5313 2.1975 1.5667
Tl 1.5313 -2.1975 1.5667
Ni 3.0696 0.0000 0.0000

! Mg6ZnIn (PBE-GGA, relaxed); values from VASP
! M_tot, μB/cell: 0.00
! DOS at the Fermi energy, states/eV/cell: 3.13
! Electronic total energy, eV per atom: -1.75
! Energy of formation from the pure elements, eV/atom: -0.0527
&SYSTEM
  ibrav = 0, nat = 8, ntyp = 3
/
ATOMIC_SPECIES
Mg 24.30 Mg.upf
Zn 65.41 Zn.upf
In 114.82 In.upf
CELL_PARAMETERS angstrom
4.4145 0.0000 0.0000
0.0000 4.4145 0.0000
0.0000 0.0000 8.8321
ATOMIC_POSITIONS angstrom
Mg 0.0000 0.0000 0.0000
Mg 0.0000 0.0000 4.4160
Mg 0.0000 2.2072 2.1189
Mg 0.0000 2.2072 6.7132
Mg 2.2072 0.0000 2.1189
Mg 2.2072 0.0000 6.7132
Zn 2.2072 2.2072 0.0000
In 2.2072 2.2072 4.4160

! Na3Tl4Pd4 (PBE-GGA, relaxed); values from VASP
! M_tot, μB/cell: 0.00
! DOS at the Fermi energy, states/eV/cell: 3.91
! Energy above the lowest structure with this stoichiometry, meV per atom: 0
! Electronic total energy, eV per atom: -3.28
! Energy of formation from the pure elements, eV/atom: -0.1682
&SYSTEM
  ibrav = 0, nat = 11, ntyp = 3
/
ATOMIC_SPECIES
Na 22.99 Na.upf
Tl 204.38 Tl.upf
Pd 106.42 Pd.upf
CELL_PARAMETERS angstrom
7.4609 -3.7148 0.0000
7.4609 3.7148 0.0000
-1.0383 0.0000 4.6030
ATOMIC_POSITIONS angstrom
Na 0.0000 0.0000 0.0000
Na 4.5760 0.0000 4.0053
Na 9.3075 0.0000 0.5977
Tl 2.8908 0.0000 1.1966
Tl 6.9418 1.6075 2.3015
Tl 6.9418 -1.6075 2.3015
Tl 10.9927 0.0000 3.4065
Pd 4.5167 2.2823 1.2242
Pd 9.3668 2.2823 3.3788
Pd 4.5167 -2.2823 1.2242
Pd 9.3668 -2.2823 3.3788

> Look up the electronic total energy of the sixth one.

-4.48 eV per atom

> Look up the M_tot of the seventh one.

0.00 μB/cell

> What is the M_tot in the seventh record?

0.00 μB/cell